[1]
VASP calculation (PBE) on a geometry-optimized In3Si structure.

Values from the calculation:
Energy relative to the elements, uncorrected (eV/atom): 0.276
Calculated total energy (eV for the cell shown): -50.1

Geometry as CIF:
```
data_In3Si
_chemical_formula_sum 'In12 Si4'
_space_group_name_H-M_alt 'I 4/m m m'
_space_group_IT_number 139
_space_group_name_Hall '-I 4 2'
_cell_length_a 4.431
_cell_length_b 4.431
_cell_length_c 20.117
_cell_angle_alpha 90.00
_cell_angle_beta 90.00
_cell_angle_gamma 90.00
loop_
_atom_site_label
_atom_site_type_symbol
_atom_site_fract_x
_atom_site_fract_y
_atom_site_fract_z
_atom_site_occupancy
In1 In 0.000 0.000 0.120 1
In2 In 0.000 0.500 0.000 1
In3 In 0.000 0.500 0.250 1
Si1 Si 0.000 0.000 0.349 1
```

[2]
VASP calculation (PBE) on a geometry-optimized InSi structure.

Values from the calculation:
Energy relative to the elements, uncorrected (eV/atom): 0.367
Calculated total energy (eV for the cell shown): -59.4

Geometry as CIF:
```
data_InSi
_chemical_formula_sum 'In8 Si8'
_space_group_name_H-M_alt 'I 4/m'
_space_group_IT_number 87
_space_group_name_Hall '-I 4'
_cell_length_a 11.010
_cell_length_b 11.010
_cell_length_c 3.657
_cell_angle_alpha 90.00
_cell_angle_beta 90.00
_cell_angle_gamma 90.00
loop_
_atom_site_label
_atom_site_type_symbol
_atom_site_fract_x
_atom_site_fract_y
_atom_site_fract_z
_atom_site_occupancy
In1 In 0.009 0.206 0.000 1
Si1 Si 0.192 0.288 0.500 1
```

[3]
VASP calculation (PBE) on a geometry-optimized InSi5 structure.

Values from the calculation:
Energy relative to the elements, uncorrected (eV/atom): 0.411
Excess energy over the best structure of this formula in the dataset (meV per atom): 0
Calculated total energy (eV for the cell shown): -54.8

Geometry as CIF:
```
data_InSi5
_chemical_formula_sum 'In2 Si10'
_space_group_name_H-M_alt 'A m m 2'
_space_group_IT_number 38
_space_group_name_Hall 'A 2 -2'
_cell_length_a 5.182
_cell_length_b 2.751
_cell_length_c 14.494
_cell_angle_alpha 90.00
_cell_angle_beta 90.00
_cell_angle_gamma 90.00
loop_
_atom_site_label
_atom_site_type_symbol
_atom_site_fract_x
_atom_site_fract_y
_atom_site_fract_z
_atom_site_occupancy
In1 In 0.000 0.000 0.000 1
Si1 Si 0.000 0.000 0.322 1
Si2 Si 0.000 0.000 0.678 1
Si3 Si 0.500 0.000 0.001 1
Si4 Si 0.500 0.000 0.334 1
Si5 Si 0.500 0.000 0.666 1
```

[4]
VASP calculation (PBE) on a geometry-optimized InSi5 structure.

Values from the calculation:
Energy relative to the elements, uncorrected (eV/atom): 0.429
Excess energy over the best structure of this formula in the dataset (meV per atom): 18
Calculated total energy (eV for the cell shown): -54.6

Geometry as CIF:
```
data_InSi5
_chemical_formula_sum 'In2 Si10'
_space_group_name_H-M_alt 'C 1 m 1'
_space_group_IT_number 8
_space_group_name_Hall 'C -2y'
_cell_length_a 10.287
_cell_length_b 3.352
_cell_length_c 6.174
_cell_angle_alpha 90.00
_cell_angle_beta 95.05
_cell_angle_gamma 90.00
loop_
_atom_site_label
_atom_site_type_symbol
_atom_site_fract_x
_atom_site_fract_y
_atom_site_fract_z
_atom_site_occupancy
In1 In 0.000 0.000 0.000 1
Si1 Si 0.045 0.000 0.543 1
Si2 Si 0.175 0.500 0.321 1
Si3 Si 0.227 0.500 0.727 1
Si4 Si 0.284 0.000 0.104 1
Si5 Si 0.359 0.000 0.514 1
```

[5]
VASP calculation (PBE) on a geometry-optimized InSi structure.

Values from the calculation:
Energy relative to the elements, uncorrected (eV/atom): 0.183
Calculated total energy (eV for the cell shown): -15.6

Geometry as CIF:
```
data_InSi
_chemical_formula_sum 'In2 Si2'
_space_group_name_H-M_alt 'P -1'
_space_group_IT_number 2
_space_group_name_Hall '-P 1'
_cell_length_a 3.745
_cell_length_b 3.748
_cell_length_c 7.771
_cell_angle_alpha 103.33
_cell_angle_beta 90.39
_cell_angle_gamma 119.87
loop_
_atom_site_label
_atom_site_type_symbol
_atom_site_fract_x
_atom_site_fract_y
_atom_site_fract_z
_atom_site_occupancy
In1 In 0.114 0.228 0.338 1
Si1 Si 0.356 0.710 0.067 1
```

[6]
VASP calculation (PBE) on a geometry-optimized InSi structure.

Values from the calculation:
Energy relative to the elements, uncorrected (eV/atom): 0.248
Calculated total energy (eV for the cell shown): -15.3

Geometry as CIF:
```
data_InSi
_chemical_formula_sum 'In2 Si2'
_space_group_name_H-M_alt 'P 4/n m m'
_space_group_IT_number 129
_cell_length_a 3.546
_cell_length_b 3.546
_cell_length_c 7.044
_cell_angle_alpha 90.00
_cell_angle_beta 90.00
_cell_angle_gamma 90.00
loop_
_space_group_symop_operation_xyz
'x,y,z'
'-x,-y,-z'
'-y+1/2,x,z'
'y+1/2,-x,-z'
'-x+1/2,-y+1/2,z'
'x+1/2,y+1/2,-z'
'y,-x+1/2,z'
'-y,x+1/2,-z'
'x+1/2,-y,-z'
'-x+1/2,y,z'
'-y,-x,-z'
'y,x,z'
'-x,y+1/2,-z'
'x,-y+1/2,z'
'y+1/2,x+1/2,-z'
'-y+1/2,-x+1/2,z'
loop_
_atom_site_label
_atom_site_type_symbol
_atom_site_fract_x
_atom_site_fract_y
_atom_site_fract_z
_atom_site_occupancy
In1 In 0.250 0.250 0.150 1
Si1 Si 0.250 0.750 0.500 1
```

[7]
VASP calculation (PBE) on a geometry-optimized InSi structure.

Values from the calculation:
Energy relative to the elements, uncorrected (eV/atom): 0.181
Calculated total energy (eV for the cell shown): -15.6

Geometry as CIF:
```
data_InSi
_chemical_formula_sum 'In2 Si2'
_space_group_name_H-M_alt 'P -1'
_space_group_IT_number 2
_space_group_name_Hall '-P 1'
_cell_length_a 3.707
_cell_length_b 3.718
_cell_length_c 8.121
_cell_angle_alpha 88.50
_cell_angle_beta 77.00
_cell_angle_gamma 60.32
loop_
_atom_site_label
_atom_site_type_symbol
_atom_site_fract_x
_atom_site_fract_y
_atom_site_fract_z
_atom_site_occupancy
In1 In 0.058 0.221 0.161 1
Si1 Si 0.207 0.651 0.436 1
```

[8]
VASP calculation (PBE) on a geometry-optimized InSi8 structure.

Values from the calculation:
Energy relative to the elements, uncorrected (eV/atom): 0.539
Calculated total energy (eV for the cell shown): -82.5

Geometry as CIF:
```
data_InSi8
_chemical_formula_sum 'In2 Si16'
_space_group_name_H-M_alt 'I 4/m m m'
_space_group_IT_number 139
_space_group_name_Hall '-I 4 2'
_cell_length_a 9.469
_cell_length_b 9.469
_cell_length_c 3.294
_cell_angle_alpha 90.00
_cell_angle_beta 90.00
_cell_angle_gamma 90.00
loop_
_atom_site_label
_atom_site_type_symbol
_atom_site_fract_x
_atom_site_fract_y
_atom_site_fract_z
_atom_site_occupancy
In1 In 0.000 0.000 0.000 1
Si1 Si 0.000 0.344 0.000 1
Si2 Si 0.183 0.183 0.500 1
```

[9]
VASP calculation (PBE) on a geometry-optimized In2Si structure.

Values from the calculation:
Energy relative to the elements, uncorrected (eV/atom): 0.362
Excess energy over the best structure of this formula in the dataset (meV per atom): 187
Calculated total energy (eV for the cell shown): -9.8

Geometry as CIF:
```
data_In2Si
_chemical_formula_sum 'In2 Si1'
_space_group_name_H-M_alt 'P -3 m 1'
_space_group_IT_number 164
_space_group_name_Hall '-P 3 2"'
_cell_length_a 5.2410
_cell_length_b 5.2410
_cell_length_c 2.9403
_cell_angle_alpha 90.00
_cell_angle_beta 90.00
_cell_angle_gamma 120.00
loop_
_atom_site_label
_atom_site_type_symbol
_atom_site_fract_x
_atom_site_fract_y
_atom_site_fract_z
_atom_site_occupancy
In1 In 0.3333 0.6667 0.1422 1
Si1 Si 0.0000 0.0000 0.0000 1
```

[10]
VASP calculation (PBE) on a geometry-optimized InSi structure.

Values from the calculation:
Energy relative to the elements, uncorrected (eV/atom): 0.475
Calculated total energy (eV for the cell shown): -7.2

Geometry as CIF:
```
data_InSi
_chemical_formula_sum 'In1 Si1'
_space_group_name_H-M_alt 'P 1'
_space_group_IT_number 1
_space_group_name_Hall 'P 1'
_cell_length_a 2.892
_cell_length_b 2.904
_cell_length_c 5.427
_cell_angle_alpha 102.57
_cell_angle_beta 101.19
_cell_angle_gamma 90.20
loop_
_atom_site_label
_atom_site_type_symbol
_atom_site_fract_x
_atom_site_fract_y
_atom_site_fract_z
_atom_site_occupancy
In1 In 0.000 0.000 0.000 1
Si1 Si 0.261 0.722 0.499 1
```

[11]
VASP calculation (PBE) on a geometry-optimized InSi5 structure.

Values from the calculation:
Energy relative to the elements, uncorrected (eV/atom): 0.491
Excess energy over the best structure of this formula in the dataset (meV per atom): 80
Calculated total energy (eV for the cell shown): -53.8

Geometry as CIF:
```
data_InSi5
_chemical_formula_sum 'In2 Si10'
_space_group_name_H-M_alt 'A m m 2'
_space_group_IT_number 38
_space_group_name_Hall 'A 2 -2'
_cell_length_a 4.419
_cell_length_b 4.496
_cell_length_c 11.068
_cell_angle_alpha 90.00
_cell_angle_beta 90.00
_cell_angle_gamma 90.00
loop_
_atom_site_label
_atom_site_type_symbol
_atom_site_fract_x
_atom_site_fract_y
_atom_site_fract_z
_atom_site_occupancy
In1 In 0.000 0.000 0.000 1
Si1 Si 0.000 0.000 0.312 1
Si2 Si 0.000 0.000 0.698 1
Si3 Si 0.500 0.000 0.208 1
Si4 Si 0.500 0.000 0.588 1
Si5 Si 0.500 0.000 0.823 1
```

[12]
VASP calculation (PBE) on a geometry-optimized In2Si structure.

Values from the calculation:
Energy relative to the elements, uncorrected (eV/atom): 0.246
Excess energy over the best structure of this formula in the dataset (meV per atom): 71
Calculated total energy (eV for the cell shown): -20.3

Geometry as CIF:
```
data_In2Si
_chemical_formula_sum 'In4 Si2'
_space_group_name_H-M_alt 'P n n m'
_space_group_IT_number 58
_space_group_name_Hall '-P 2 2n'
_cell_length_a 5.442
_cell_length_b 6.772
_cell_length_c 4.245
_cell_angle_alpha 90.00
_cell_angle_beta 90.00
_cell_angle_gamma 90.00
loop_
_atom_site_label
_atom_site_type_symbol
_atom_site_fract_x
_atom_site_fract_y
_atom_site_fract_z
_atom_site_occupancy
In1 In 0.217 0.133 0.000 1
Si1 Si 0.000 0.500 0.000 1
```